[1]
DFT (GGA-PBE) results for a geometry-optimized CsTcTeAuSe2 structure.

Summary:
As for the total energy: -0.32172 Ry per atom. For the theoretical density, the calculation gives 6.82 g/cm3.

Cell: 3.8297 17.1695 10.5637 Å, 90.00 90.00 90.00°
Last column: nearest neighbours and their distance in Å.
Space group Cmcm (No. 63)
Inequivalent atoms, fractional coordinates:
1 Cs 0.0000 0.2352 0.2500 [4 per cell]  2 Au 3.65, 6 Se 3.81-4.01, 2 Cs 3.83, 2 Te 3.91
2 Tc 0.0000 0.0000 0.0000 [4 per cell]  4 Se 2.62, 2 Te 2.88
3 Te 0.0000 0.0665 0.7500 [4 per cell]  2 Au 2.82, 2 Tc 2.88
4 Au 0.0000 0.4458 0.7500 [4 per cell]  2 Se 2.53, 2 Te 2.82
5 Se 0.0000 0.3970 0.5244 [8 per cell]  1 Au 2.53, 2 Tc 2.62



[2]
DFT (GGA-PBE) results for a geometry-optimized YSiNi4 structure.

Summary:
As for the total energy: -0.46332 Ry per atom. For the theoretical density, the calculation gives 7.16 g/cm3.

Cell: 5.0632 8.1671 3.9464 Å, 90.00 90.00 90.00°
Last column: nearest neighbours and their distance in Å.
Space group Cmmm (No. 65)
Inequivalent atoms, fractional coordinates:
1 Y 0.0000 0.0000 0.0000 [2 per cell]  14 Ni 2.79-3.11
2 Si 0.0000 0.5000 0.5000 [2 per cell]  8 Ni 2.36-2.40
3 Ni 0.0000 0.3413 0.0000 [4 per cell]  2 Si 2.36, 5 Ni 2.46-2.59
4 Ni 0.2500 0.2500 0.5000 [4 per cell]  2 Si 2.40, 6 Ni 2.46-2.53



[3]
DFT (GGA-PBE) results for a geometry-optimized CsPmNp structure.

Summary:
As for the total energy: -0.32535 Ry per atom. For the theoretical density, the calculation gives 5.06 g/cm3.

Cell: 8.7733 8.7733 8.7733 Å, 90.00 90.00 90.00°
Last column: nearest neighbours and their distance in Å.
Space group F-43m (No. 216)
Inequivalent atoms, fractional coordinates:
1 Cs 0.0000 0.0000 0.0000 [4 per cell]  4 Pm 3.80
2 Pm 0.2500 0.2500 0.2500 [4 per cell]  4 Np 3.80, 4 Cs 3.80
3 Np 0.0000 0.0000 0.5000 [4 per cell]  4 Pm 3.80



[4]
DFT (GGA-PBE) results for a geometry-optimized CdTeAsO structure.

Summary:
The energy above the most stable polymorph in this dataset is 252 meV/atom. For the theoretical density, the calculation gives 7.07 g/cm3.

Cell: 4.1245 4.1245 9.1360 Å, 90.00 90.00 90.00°
Last column: nearest neighbours and their distance in Å.
Space group P4/nmm (No. 129, origin choice 2)
Inequivalent atoms, fractional coordinates:
1 Cd 0.2500 0.7500 0.0000 [2 per cell]  4 As 2.82, 4 Cd 2.92
2 Te 0.2500 0.2500 0.3747 [2 per cell]  4 O 2.36
3 As 0.2500 0.2500 0.7891 [2 per cell]  4 Cd 2.82
4 O 0.2500 0.7500 0.5000 [2 per cell]  4 Te 2.36



[5]
DFT (GGA-PBE) results for a geometry-optimized YCdCoB structure.

Summary:
The energy above the most stable polymorph in this dataset is 0 meV/atom. For the theoretical density, the calculation gives 6.97 g/cm3.

Cell: 6.3689 6.3689 6.3689 Å, 90.00 90.00 90.00°
Last column: nearest neighbours and their distance in Å.
Space group F-43m (No. 216)
Inequivalent atoms, fractional coordinates:
1 Y 0.0000 0.0000 0.0000 [4 per cell]  4 Cd 2.76, 4 B 2.76
2 Cd 0.2500 0.2500 0.7500 [4 per cell]  4 Co 2.76, 4 Y 2.76
3 Co 0.0000 0.0000 0.5000 [4 per cell]  4 B 2.76, 4 Cd 2.76
4 B 0.2500 0.2500 0.2500 [4 per cell]  4 Co 2.76, 4 Y 2.76



[6]
DFT (GGA-PBE) results for a geometry-optimized InReAsO structure.

Summary:
The energy above the most stable polymorph in this dataset is 73 meV/atom. For the theoretical density, the calculation gives 9.68 g/cm3.

Cell: 3.9236 3.9236 8.7334 Å, 90.00 90.00 90.00°
Last column: nearest neighbours and their distance in Å.
Space group P4/nmm (No. 129, origin choice 2)
Inequivalent atoms, fractional coordinates:
1 In 0.2500 0.2500 0.1161 [2 per cell]  4 O 2.21
2 Re 0.2500 0.7500 0.5000 [2 per cell]  4 As 2.56, 4 Re 2.77
3 As 0.2500 0.2500 0.6883 [2 per cell]  4 Re 2.56
4 O 0.2500 0.7500 0.0000 [2 per cell]  4 In 2.21



[7]
DFT (GGA-PBE) results for a geometry-optimized LaAuNO structure.

Summary:
The energy above the most stable polymorph in this dataset is 48 meV/atom. For the theoretical density, the calculation gives 6.95 g/cm3.

Cell: 4.4067 7.7856 5.0990 Å, 90.00 90.00 90.00°
Last column: nearest neighbours and their distance in Å.
Space group Pmc2_1 (No. 26)
Inequivalent atoms, fractional coordinates:
1 La 0.0000 0.1656 0.0000 [2 per cell]  2 O 2.16-2.39
2 Au 0.5000 0.4815 0.6471 [2 per cell]  2 N 1.99-2.03
3 N 0.5000 0.3017 0.9246 [2 per cell]  2 Au 1.99-2.03
4 O 0.0000 0.1103 0.4620 [2 per cell]  2 La 2.16-2.39



[8]
DFT (GGA-PBE) results for a geometry-optimized YTlNiHg structure.

Summary:
As for the total energy: -0.27908 Ry per atom. For the theoretical density, the calculation gives 10.75 g/cm3.

Cell: 6.9887 6.9887 6.9887 Å, 90.00 90.00 90.00°
Last column: nearest neighbours and their distance in Å.
Space group F-43m (No. 216)
Inequivalent atoms, fractional coordinates:
1 Y 0.0000 0.0000 0.0000 [4 per cell]  4 Hg 3.03, 4 Ni 3.03
2 Tl 0.0000 0.0000 0.5000 [4 per cell]  4 Ni 3.03, 4 Hg 3.03
3 Ni 0.2500 0.2500 0.7500 [4 per cell]  4 Tl 3.03, 4 Y 3.03
4 Hg 0.2500 0.2500 0.2500 [4 per cell]  4 Tl 3.03, 4 Y 3.03